[1]
Computed, not measured: Ru2Pt2Rh5 after structural relaxation at the GGA-PBE level of DFT.

Properties
- Calculated volume: 277.1 Å³ per cell
- Crystal system: monoclinic

```
data_Ru2Pt2Rh5
_space_group_name_H-M_alt 'C 1 2/m 1'
_space_group_IT_number 12
_cell_length_a 12.4547
_cell_length_b 4.3440
_cell_length_c 5.3414
_cell_angle_alpha 90.00
_cell_angle_beta 106.47
_cell_angle_gamma 90.00
loop_
_space_group_symop_operation_xyz
'x,y,z'
'-x,-y,-z'
'-x,y,-z'
'x,-y,z'
'x+1/2,y+1/2,z'
'-x+1/2,-y+1/2,-z'
'-x+1/2,y+1/2,-z'
'x+1/2,-y+1/2,z'
loop_
_atom_site_label
_atom_site_fract_x
_atom_site_fract_y
_atom_site_fract_z
_atom_site_occupancy
Ru1 0.0901 0.0000 0.1726 1
Pt1 0.1742 0.5000 0.9739 1
Rh1 0.0000 0.5000 0.5000 1
Rh2 0.1094 0.0000 0.6808 1
Rh3 0.1950 0.5000 0.4787 1
```

[2]
Computed, not measured: Ru2Pt2Rh5 after structural relaxation at the GGA-PBE level of DFT.

Properties
- Calculated volume: 129.7 Å³ per cell
- Crystal system: triclinic

```
data_Ru2Pt2Rh5
_space_group_name_H-M_alt 'P -1'
_space_group_IT_number 2
_cell_length_a 4.7243
_cell_length_b 4.7339
_cell_length_c 6.1162
_cell_angle_alpha 74.94
_cell_angle_beta 82.52
_cell_angle_gamma 80.38
loop_
_space_group_symop_operation_xyz
'x,y,z'
'-x,-y,-z'
loop_
_atom_site_label
_atom_site_fract_x
_atom_site_fract_y
_atom_site_fract_z
_atom_site_occupancy
Ru1 0.0540 0.2756 0.3905 1
Pt1 0.1699 0.8321 0.1698 1
Rh1 0.2734 0.3937 0.9439 1
Rh2 0.3874 0.9406 0.7154 1
Rh3 0.5000 0.5000 0.5000 1
```

[3]
Computed, not measured: RuPtRh after structural relaxation at the GGA-PBE level of DFT.

Properties
- Calculated volume: 87.3 Å³ per cell
- Crystal system: orthorhombic

```
data_RuPtRh
_space_group_name_H-M_alt 'P m m n'
_space_group_IT_number 59
_cell_length_a 2.7388
_cell_length_b 3.8563
_cell_length_c 8.2643
_cell_angle_alpha 90.00
_cell_angle_beta 90.00
_cell_angle_gamma 90.00
loop_
_space_group_symop_operation_xyz
'x,y,z'
'-x,-y,-z'
'-x+1/2,-y+1/2,z'
'x+1/2,y+1/2,-z'
'x+1/2,-y,-z'
'-x+1/2,y,z'
'-x,y+1/2,-z'
'x,-y+1/2,z'
loop_
_atom_site_label
_atom_site_fract_x
_atom_site_fract_y
_atom_site_fract_z
_atom_site_occupancy
Ru1 0.2500 0.2500 0.0761 1
Pt1 0.2500 0.2500 0.7519 1
Rh1 0.2500 0.2500 0.4174 1
```

[4]
Computed, not measured: RuPtRh2 after structural relaxation at the GGA-PBE level of DFT.

Properties
- Calculated volume: 115.5 Å³ per cell
- Crystal system: tetragonal

```
data_RuPtRh2
_space_group_name_H-M_alt 'I -4 m 2'
_space_group_IT_number 119
_space_group_name_Hall 'I -4 -2'
_cell_length_a 3.8560
_cell_length_b 3.8560
_cell_length_c 7.7684
_cell_angle_alpha 90.00
_cell_angle_beta 90.00
_cell_angle_gamma 90.00
loop_
_atom_site_label
_atom_site_fract_x
_atom_site_fract_y
_atom_site_fract_z
_atom_site_occupancy
Ru1 0.0000 0.0000 0.0000 1
Pt1 0.0000 0.5000 0.7500 1
Rh1 0.0000 0.0000 0.5000 1
Rh2 0.0000 0.5000 0.2500 1
```

[5]
Computed, not measured: Ru2PtRh6 after structural relaxation at the GGA-PBE level of DFT.

Properties
- Calculated volume: 531.9 Å³ per cell
- Crystal system: monoclinic

```
data_Ru2PtRh6
_space_group_name_H-M_alt 'C 1 2/c 1'
_space_group_IT_number 15
_cell_length_a 9.4056
_cell_length_b 11.2954
_cell_length_c 5.0937
_cell_angle_alpha 90.00
_cell_angle_beta 100.62
_cell_angle_gamma 90.00
loop_
_space_group_symop_operation_xyz
'x,y,z'
'-x,-y,-z'
'-x,y,-z+1/2'
'x,-y,z+1/2'
'x+1/2,y+1/2,z'
'-x+1/2,-y+1/2,-z'
'-x+1/2,y+1/2,-z+1/2'
'x+1/2,-y+1/2,z+1/2'
loop_
_atom_site_label
_atom_site_fract_x
_atom_site_fract_y
_atom_site_fract_z
_atom_site_occupancy
Ru1 0.1329 0.0196 0.3735 1
Pt1 0.0000 0.4042 0.2500 1
Rh1 0.0460 0.1911 0.0156 1
Rh2 0.1467 0.3944 0.8067 1
Rh3 0.2385 0.1807 0.7007 1
```

[6]
Computed, not measured: Ru2PtRh after structural relaxation at the GGA-PBE level of DFT.

Properties
- Calculated volume: 340.4 Å³ per cell
- Crystal system: tetragonal

```
data_Ru2PtRh
_space_group_name_H-M_alt 'I -4 2 d'
_space_group_IT_number 122
_space_group_name_Hall 'I -4 2bw'
_cell_length_a 5.5011
_cell_length_b 5.5011
_cell_length_c 11.2488
_cell_angle_alpha 90.00
_cell_angle_beta 90.00
_cell_angle_gamma 90.00
loop_
_atom_site_label
_atom_site_fract_x
_atom_site_fract_y
_atom_site_fract_z
_atom_site_occupancy
Ru1 0.2423 0.2500 0.1250 1
Pt1 0.0000 0.0000 0.5000 1
Rh1 0.0000 0.0000 0.0000 1
```

Number 1: distance to the lowest polymorph of the same formula 31.1 kJ/mol of atoms, ρ 13.26 Mg/m³, formation energy from the elements 310 meV per atom. Number 2: distance to the lowest polymorph of the same formula 0.0 kJ/mol of atoms, ρ 14.17 Mg/m³, formation energy from the elements -12 meV per atom. Number 3: distance to the lowest polymorph of the same formula 1.1 kJ/mol of atoms, ρ 15.18 Mg/m³, formation energy from the elements -15 meV per atom. Number 4: distance to the lowest polymorph of the same formula 5.0 kJ/mol of atoms, ρ 14.43 Mg/m³, formation energy from the elements 9 meV per atom. Number 5: distance to the lowest polymorph of the same formula 16.9 kJ/mol of atoms, ρ 12.67 Mg/m³, formation energy from the elements 182 meV per atom. Number 6: distance to the lowest polymorph of the same formula 109.5 kJ/mol of atoms, ρ 9.76 Mg/m³, formation energy from the elements 1122 meV per atom.